# NaSr2I2

NaSr2I2 after structural relaxation (PBE, Alexandria).

Calculated values
Spin magnetization = 0.0 μB/f.u.
Space group = I4/mmm (139)
Calculated density = 3.175 g/cm³
Uncorrected formation energy = -3.52 eV per formula unit
Volume = 47.3 A^3/atom
Distance to the lowest polymorph of the same formula = 157 meV per atom
Energy = -11.3 eV per cell

a = 7.451 Å, b = 7.451 Å, c = 7.451 Å
α = 130.08°, β = 130.08°, γ = 73.28°
Positions (direct):
Na 0.000 0.000 0.000
Sr 0.250 0.750 0.500
Sr 0.750 0.250 0.500
I 0.337 0.337 0.000
I 0.663 0.663 0.000



# AcPuSeI

AcPuSeI after structural relaxation (PBE, Alexandria).

Calculated values
Spin magnetization = 7.0 μB/f.u.
Space group = F-43m (216)
Calculated density = 9.679 g/cm³
Uncorrected formation energy = -3.90 eV per formula unit
Volume = 29.0 A^3/atom
Energy = -27.4 eV per cell

a = 5.476 Å, b = 5.476 Å, c = 5.476 Å
α = 60.00°, β = 60.00°, γ = 60.00°
Positions (direct):
Ac 0.000 0.000 0.000
Pu 0.500 0.500 0.500
Se 0.750 0.750 0.750
I 0.250 0.250 0.250



no.,DOS(E_F) (states/eV/f.u.)
1,5.4
2,9.7